Density functional theory data (PBE) for a relaxed KNa2Bi2 crystal.

Lattice parameters (Å, degrees): 7.755 7.755 7.755 140.55 140.55 57.02
Sites, in units of the cell vectors:
K: 0.000 0.000 0.000
Na: 0.250 0.750 0.500
Na: 0.750 0.250 0.500
Bi: 0.392 0.392 0.000
Bi: 0.608 0.608 0.000

SG = I4/mmm
Polymorph energy (0 for the lowest one) = 0.029 eV per atom
Energy of formation = -0.29 eV per atom
Total energy = -2.592 eV per atom



Density functional theory data (PBE) for a relaxed KNaBi2 crystal.

Lattice parameters (Å, degrees): 11.989 11.989 11.989 155.11 155.11 35.49
Sites, in units of the cell vectors:
K: 0.000 0.000 0.000
K: 0.750 0.250 0.500
Na: 0.250 0.750 0.500
Na: 0.500 0.500 0.000
Bi: 0.191 0.625 0.066
Bi: 0.375 0.441 0.566
Bi: 0.559 0.125 0.934
Bi: 0.875 0.809 0.434

SG = I-42d
Polymorph energy (0 for the lowest one) = 0.125 eV per atom
Energy of formation = -0.17 eV per atom
Total energy = -2.715 eV per atom



Density functional theory data (PBE) for a relaxed KNaNiBi2 crystal.

Lattice parameters (Å, degrees): 5.222 5.222 5.533 90.00 90.00 90.00
Sites, in units of the cell vectors:
K: 0.000 0.000 0.000
Na: 0.500 0.500 0.000
Ni: 0.500 0.500 0.500
Bi: 0.000 0.500 0.500
Bi: 0.500 0.000 0.500

SG = P4/mmm
Energy of formation = -0.07 eV per atom
Total energy = -3.257 eV per atom



Density functional theory data (PBE) for a relaxed KNaBi4O12 crystal.

Lattice parameters (Å, degrees): 8.425 5.822 5.822 89.21 90.00 90.00
Sites, in units of the cell vectors:
K: 0.000 0.000 0.000
Na: 0.500 0.534 0.534
Bi: 0.250 0.021 0.517
Bi: 0.250 0.517 0.021
Bi: 0.750 0.021 0.517
Bi: 0.750 0.517 0.021
O: 0.000 0.082 0.474
O: 0.000 0.474 0.082
O: 0.204 0.712 0.712
O: 0.265 0.206 0.832
O: 0.265 0.832 0.206
O: 0.305 0.331 0.331
O: 0.500 0.549 0.936
O: 0.500 0.936 0.549
O: 0.695 0.331 0.331
O: 0.735 0.206 0.832
O: 0.735 0.832 0.206
O: 0.796 0.712 0.712

Energy relative to the elements, uncorrected = -678 meV/atom
SG = Amm2
Total energy = -4.980 eV per atom



Density functional theory data (PBE) for a relaxed K2Na3BiO6 crystal.

Lattice parameters (Å, degrees): 6.475 6.475 6.026 100.49 100.49 120.61
Sites, in units of the cell vectors:
K: 0.170 0.830 0.000
K: 0.830 0.170 0.000
Na: 0.000 0.000 0.500
Na: 0.353 0.647 0.500
Na: 0.647 0.353 0.500
Bi: 0.500 0.500 0.000
O: 0.158 0.421 0.759
O: 0.300 0.300 0.217
O: 0.421 0.158 0.759
O: 0.579 0.842 0.241
O: 0.700 0.700 0.783
O: 0.842 0.579 0.241

Energy relative to the elements, uncorrected = -1111 meV/atom
SG = C2/m
Total energy = -4.426 eV per atom



Density functional theory data (PBE) for a relaxed K2NaBiO4 crystal.

Lattice parameters (Å, degrees): 6.103 6.103 6.208 120.41 120.41 88.27
Sites, in units of the cell vectors:
K: 0.000 0.000 0.000
K: 0.750 0.250 0.500
Na: 0.501 0.499 0.000
Bi: 0.251 0.749 0.500
O: 0.203 0.446 0.543
O: 0.344 0.093 0.893
O: 0.554 0.797 0.457
O: 0.907 0.656 0.107

Energy relative to the elements, uncorrected = -1278 meV/atom
SG = C2
Total energy = -4.681 eV per atom



Density functional theory data (PBE) for a relaxed KNa2BiO4 crystal.

Lattice parameters (Å, degrees): 7.303 7.303 7.303 125.22 124.62 81.67
Sites, in units of the cell vectors:
K: 0.500 0.000 0.000
K: 0.500 0.500 0.500
Na: 0.000 0.000 0.000
Na: 0.000 0.000 0.500
Na: 0.000 0.500 0.000
Na: 0.500 0.000 0.500
Bi: 0.000 0.500 0.500
Bi: 0.500 0.500 0.000
O: 0.166 0.686 0.480
O: 0.252 0.272 0.520
O: 0.252 0.732 0.980
O: 0.294 0.314 0.980
O: 0.706 0.686 0.020
O: 0.748 0.268 0.020
O: 0.748 0.728 0.480
O: 0.834 0.314 0.520

Energy relative to the elements, uncorrected = -1250 meV/atom
SG = Imma
Total energy = -4.681 eV per atom



Density functional theory data (PBE) for a relaxed K2Na2BiO4 crystal.

Lattice parameters (Å, degrees): 6.570 6.570 8.943 125.53 125.53 32.40
Sites, in units of the cell vectors:
K: 0.183 0.183 0.293
K: 0.817 0.817 0.707
Na: 0.355 0.355 0.120
Na: 0.645 0.645 0.880
Bi: 0.000 0.000 0.500
O: 0.201 0.201 0.787
O: 0.436 0.436 0.598
O: 0.564 0.564 0.402
O: 0.799 0.799 0.213

Energy relative to the elements, uncorrected = -1280 meV/atom
SG = C2/m
Total energy = -4.451 eV per atom



Density functional theory data (PBE) for a relaxed KNa2BiP crystal.

Lattice parameters (Å, degrees): 5.465 5.465 6.038 90.00 90.00 90.00
Sites, in units of the cell vectors:
K: 0.000 0.000 0.000
Na: 0.000 0.500 0.000
Na: 0.500 0.000 0.000
Bi: 0.000 0.000 0.500
P: 0.500 0.500 0.500

SG = P4/mmm
Energy of formation = 0.87 eV per atom
Total energy = -1.737 eV per atom



Density functional theory data (PBE) for a relaxed KNaBiPb crystal.

Lattice parameters (Å, degrees): 5.764 5.764 5.764 60.00 60.00 60.00
Sites, in units of the cell vectors:
K: 0.000 0.000 0.000
Na: 0.250 0.250 0.250
Bi: 0.750 0.750 0.750
Pb: 0.500 0.500 0.500

SG = F-43m
Energy of formation = -0.20 eV per atom
Total energy = -2.697 eV per atom



Density functional theory data (PBE) for a relaxed KNa2Bi2Pb2 crystal.

Lattice parameters (Å, degrees): 9.942 9.942 9.942 32.20 32.20 32.20
Sites, in units of the cell vectors:
K: 0.000 0.000 0.000
Na: 0.139 0.139 0.139
Na: 0.861 0.861 0.861
Bi: 0.251 0.251 0.251
Bi: 0.749 0.749 0.749
Pb: 0.435 0.435 0.435
Pb: 0.565 0.565 0.565

SG = R-3m
Energy of formation = -0.23 eV per atom
Total energy = -2.930 eV per atom



Density functional theory data (PBE) for a relaxed K2NaBi2Pd2 crystal.

Lattice parameters (Å, degrees): 9.496 9.496 9.496 149.32 149.32 43.94
Sites, in units of the cell vectors:
K: 0.178 0.178 0.000
K: 0.822 0.822 0.000
Na: 0.000 0.000 0.000
Bi: 0.410 0.410 0.000
Bi: 0.590 0.590 0.000
Pd: 0.000 0.500 0.500
Pd: 0.500 0.000 0.500

SG = I4/mmm
Energy of formation = -0.18 eV per atom
Total energy = -3.276 eV per atom



Density functional theory data (PBE) for a relaxed KNaBiPd crystal.

Lattice parameters (Å, degrees): 6.892 6.892 6.892 41.03 41.03 41.03
Sites, in units of the cell vectors:
K: 0.000 0.000 0.000
Na: 0.202 0.202 0.202
Bi: 0.787 0.787 0.787
Pd: 0.464 0.464 0.464

SG = R3m
Polymorph energy (0 for the lowest one) = 0.000 eV per atom
Energy of formation = -0.28 eV per atom
Total energy = -3.154 eV per atom



Density functional theory data (PBE) for a relaxed KNaBiPd crystal.

Lattice parameters (Å, degrees): 5.238 5.238 5.238 60.00 60.00 60.00
Sites, in units of the cell vectors:
K: 0.000 0.000 0.000
Na: 0.250 0.250 0.250
Bi: 0.500 0.500 0.500
Pd: 0.750 0.750 0.750

SG = F-43m
Polymorph energy (0 for the lowest one) = 0.131 eV per atom
Energy of formation = -0.15 eV per atom
Total energy = -3.023 eV per atom



Density functional theory data (PBE) for a relaxed K2NaBi2Pt crystal.

Lattice parameters (Å, degrees): 9.435 9.435 9.435 134.90 67.06 133.15
Sites, in units of the cell vectors:
K: 0.167 0.236 0.403
K: 0.333 0.736 0.069
K: 0.667 0.264 0.931
K: 0.833 0.764 0.597
Na: 0.250 0.250 0.000
Na: 0.750 0.750 0.000
Bi: 0.093 0.693 0.786
Bi: 0.407 0.193 0.601
Bi: 0.593 0.807 0.399
Bi: 0.907 0.307 0.214
Pt: 0.250 0.750 0.500
Pt: 0.750 0.250 0.500

SG = Ibam
Energy of formation = -0.29 eV per atom
Total energy = -3.176 eV per atom



Density functional theory data (PBE) for a relaxed KRbNaBi crystal.

Lattice parameters (Å, degrees): 5.982 5.982 5.982 60.00 60.00 60.00
Sites, in units of the cell vectors:
K: 0.000 0.000 0.000
Rb: 0.250 0.250 0.250
Na: 0.500 0.500 0.500
Bi: 0.750 0.750 0.750

SG = F-43m
Energy of formation = -0.35 eV per atom
Total energy = -2.164 eV per atom



Density functional theory data (PBE) for a relaxed KRb2NaBi crystal.

Lattice parameters (Å, degrees): 7.235 7.235 6.944 90.00 90.00 90.00
Sites, in units of the cell vectors:
K: 0.000 0.000 0.000
Rb: 0.000 0.500 0.500
Rb: 0.500 0.000 0.500
Na: 0.500 0.500 0.000
Bi: 0.000 0.000 0.500

SG = P4/mmm
Polymorph energy (0 for the lowest one) = 0.064 eV per atom
Energy of formation = -0.06 eV per atom
Total energy = -1.706 eV per atom



Density functional theory data (PBE) for a relaxed KRb2NaBi crystal.

Lattice parameters (Å, degrees): 7.346 7.346 6.113 90.00 90.00 90.00
Sites, in units of the cell vectors:
K: 0.000 0.000 0.000
Rb: 0.000 0.500 0.500
Rb: 0.500 0.000 0.500
Na: 0.500 0.500 0.000
Bi: 0.500 0.500 0.500

SG = P4/mmm
Polymorph energy (0 for the lowest one) = 0.000 eV per atom
Energy of formation = -0.12 eV per atom
Total energy = -1.770 eV per atom



Density functional theory data (PBE) for a relaxed KNa2Bi3S6 crystal.

Lattice parameters (Å, degrees): 9.404 9.404 8.525 105.57 105.57 25.18
Sites, in units of the cell vectors:
K: 0.000 0.000 0.000
Na: 0.332 0.332 0.664
Na: 0.668 0.668 0.336
Bi: 0.000 0.000 0.500
Bi: 0.332 0.332 0.168
Bi: 0.668 0.668 0.832
S: 0.164 0.164 0.597
S: 0.176 0.176 0.078
S: 0.499 0.499 0.272
S: 0.501 0.501 0.728
S: 0.824 0.824 0.922
S: 0.836 0.836 0.403

Energy relative to the elements, uncorrected = -756 meV/atom
SG = C2/m
Total energy = -4.101 eV per atom



Density functional theory data (PBE) for a relaxed KNaBiSb crystal.

Lattice parameters (Å, degrees): 5.696 5.696 5.696 60.00 60.00 60.00
Sites, in units of the cell vectors:
K: 0.000 0.000 0.000
Na: 0.750 0.750 0.750
Bi: 0.500 0.500 0.500
Sb: 0.250 0.250 0.250

Energy relative to the elements, uncorrected = -165 meV/atom
SG = F-43m
Total energy = -2.770 eV per atom